Material: KSrNbO4
Method: DFT, GGA-PBE
State: optimized geometry

volume	160	Å³/f.u.
magnetization	0.2	μB/cell
formation energy from raw total energies	-2557.3	meV per atom
density of states at the Fermi level	0.0	states/eV per cell

```
KSrNbO4
1.0
6.553 0.000 0.000
0.000 6.372 0.000
-0.733 0.000 7.647
K Sr Nb O
2 2 2 8
direct
0.157 0.250 0.381
0.843 0.750 0.619
0.317 0.250 0.932
0.683 0.750 0.068
0.192 0.750 0.151
0.808 0.250 0.849
0.011 0.250 0.690
0.039 0.750 0.934
0.375 0.521 0.166
0.375 0.979 0.166
0.625 0.021 0.834
0.625 0.479 0.834
0.961 0.250 0.066
0.989 0.750 0.310
```